PBE-GGA CsSrYF6, relaxed; spin magnetization = 0.31 μB/cell; E_form (uncorrected) = -3.70 eV/atom; SG = Imma (74)
1.0
-4.102 4.123 5.695
4.102 -4.123 5.695
4.102 4.123 -5.695
Cs Sr Y F
2 2 2 12
Cartesian
0.000 2.061 1.614 Cs
4.102 2.061 4.081 Cs
2.051 2.061 -2.848 Sr
2.051 -2.061 2.848 Sr
4.102 0.000 0.000 Y
0.000 0.000 5.695 Y
4.102 -2.061 4.058 F
2.561 0.132 1.525 F
5.643 0.132 1.525 F
4.102 2.061 -0.764 F
2.561 4.255 -1.525 F
1.541 0.132 4.170 F
2.561 3.991 1.525 F
1.541 -0.132 7.220 F
0.000 2.061 6.459 F
-1.541 3.991 4.170 F
1.541 3.991 4.170 F
0.000 6.184 1.637 F

PBE-GGA Cs2SrYF6, relaxed; excess energy over the best structure of this formula in the dataset = 10.9 meV/atom; spin magnetization = 0.00 μB/cell; E_form (uncorrected) = -3.25 eV/atom; SG = Fm-3m (225)
1.0
0.000 4.812 4.812
4.812 0.000 4.812
4.812 4.812 0.000
Cs Sr Y F
2 1 1 6
Cartesian
2.406 2.406 2.406 Cs
7.218 7.218 7.218 Cs
0.000 0.000 0.000 Sr
4.812 4.812 4.812 Y
4.812 4.812 2.566 F
4.812 2.566 4.812 F
7.058 4.812 4.812 F
2.566 4.812 4.812 F
4.812 7.058 4.812 F
4.812 4.812 7.058 F